# 1
First-principles (PBE) data for LiNpBiRh after structural relaxation, as listed in Alexandria.

Unit cell a=6.825 b=6.825 c=6.825 alpha=90.00 beta=90.00 gamma=90.00
Space group F-43m (No. 216)
Unique sites:
1 Li 0.000 0.000 0.000
2 Np 0.250 0.250 0.750
3 Bi 0.250 0.250 0.250
4 Rh 0.000 0.000 0.500

Output
energy of formation: -225 meV per atom



# 2
First-principles (PBE) data for ErPuTlBr6 after structural relaxation, as listed in Alexandria.

Unit cell a=7.4680 b=7.4680 c=14.5779 alpha=90.00 beta=90.00 gamma=120.00
Space group P-31c (No. 163)
Unique sites:
1 Er 0.3333 0.6667 0.2500
2 Pu 0.3333 0.6667 0.7500
3 Tl 0.0000 0.0000 0.0000
4 Br 0.0192 0.3749 0.1372

Output
raw formation energy: -1501 meV per atom



# 3
First-principles (PBE) data for DyHo3Os after structural relaxation, as listed in Alexandria.

Unit cell a=17.291 b=3.580 c=9.496 alpha=90.00 beta=105.83 gamma=90.00
Space group C2/m (No. 12)
Unique sites:
1 Dy 0.192 0.000 0.305
2 Ho 0.001 0.500 0.176
3 Ho 0.099 0.500 0.540
4 Ho 0.185 0.000 0.871
5 Os 0.137 0.500 0.065

Output
energy above the most stable polymorph in this dataset: 89 meV/atom
energy of formation: 17 meV per atom



# 4
First-principles (PBE) data for Ho2SiO5 after structural relaxation, as listed in Alexandria.

Unit cell a=9.130 b=6.839 c=6.724 alpha=90.00 beta=105.06 gamma=90.00
Space group P2_1/c (No. 14)
Unique sites:
1 Ho 0.030 0.123 0.232
2 Ho 0.369 0.139 0.047
3 Si 0.299 0.591 0.021
4 O 0.112 0.120 0.937
5 O 0.115 0.638 0.986
6 O 0.291 0.069 0.330
7 O 0.370 0.054 0.716
8 O 0.396 0.713 0.516

Output
raw formation energy: -3367 meV per atom
energy above the most stable polymorph in this dataset: 0 meV/atom



# 5
First-principles (PBE) data for Li2SnSe2 after structural relaxation, as listed in Alexandria.

Unit cell a=7.796 b=7.796 c=3.405 alpha=90.00 beta=90.00 gamma=90.00
Space group P4/mbm (No. 127)
Unique sites:
1 Li 0.131 0.369 0.000
2 Sn 0.000 0.000 0.500
3 Se 0.171 0.671 0.500

Output
raw formation energy: -702 meV per atom



# 6
First-principles (PBE) data for P2IrIO after structural relaxation, as listed in Alexandria.

Unit cell a=4.902 b=4.902 c=3.794 alpha=90.00 beta=90.00 gamma=90.00
Space group P4/mmm (No. 123)
Unique sites:
1 P 0.000 0.500 0.000
2 Ir 0.000 0.000 0.000
3 I 0.500 0.500 0.500
4 O 0.000 0.000 0.500

Output
raw formation energy: 301 meV per atom
energy above the most stable polymorph in this dataset: 0 meV/atom



# 7
First-principles (PBE) data for Pr2Ho7Er after structural relaxation, as listed in Alexandria.

Unit cell a=6.492 b=28.817 c=3.507 alpha=90.00 beta=90.00 gamma=90.00
Space group Cmmm (No. 65)
Unique sites:
1 Pr 0.000 0.208 0.000
2 Ho 0.000 0.000 0.000
3 Ho 0.000 0.316 0.500
4 Ho 0.245 0.403 0.000
5 Er 0.000 0.500 0.500

Output
energy above the most stable polymorph in this dataset: 133 meV/atom
energy of formation: 155 meV per atom



# 8
First-principles (PBE) data for CrPSN2 after structural relaxation, as listed in Alexandria.

Unit cell a=3.645 b=3.645 c=5.038 alpha=90.00 beta=90.00 gamma=90.00
Space group P4/mmm (No. 123)
Unique sites:
1 Cr 0.000 0.000 0.000
2 P 0.500 0.500 0.500
3 S 0.000 0.000 0.500
4 N 0.000 0.500 0.000

Output
raw formation energy: 758 meV per atom
energy above the most stable polymorph in this dataset: 166 meV/atom